Entry 1:
First-principles (PBE) data for a geometry-optimized Hg2BiI2 structure, as listed in the Alexandria database.

Cell and atoms, written as POSCAR:
```
Hg2BiI2
1.0
7.402 0.000 0.000
-2.599 7.060 0.000
-2.518 -1.331 8.059
Hg Bi I
4 2 4
Cartesian
0.000 0.000 0.000
-0.723 2.557 1.830
-0.256 3.855 5.711
4.116 1.200 2.149
2.900 0.520 4.642
2.190 5.144 5.040
-2.628 2.484 6.425
-1.884 6.058 3.186
0.910 -0.352 7.395
2.072 4.194 2.146
```

Calculated values
Total DFT energy (no corrections) = -1.701 eV/atom
Space-group type = No. 1
ΔE to the lowest computed polymorph = 0.043 eV/atom
Energy relative to the elements, uncorrected = -0.18 eV per atom


Entry 2:
First-principles (PBE) data for a geometry-optimized Hg2BiI2 structure, as listed in the Alexandria database.

Cell and atoms, written as POSCAR:
```
Hg2BiI2
1.0
7.694 0.000 0.000
2.406 7.388 0.000
3.780 0.395 7.148
Hg Bi I
4 2 4
Cartesian
1.844 0.836 1.349
5.867 2.326 4.620
8.013 5.457 2.527
12.037 6.947 5.798
6.425 3.574 7.099
7.456 4.209 0.048
3.959 5.652 2.497
7.995 6.257 5.240
5.885 1.525 1.908
9.922 2.130 4.650
```

Calculated values
Total DFT energy (no corrections) = -1.744 eV/atom
Space-group type = No. 2
ΔE to the lowest computed polymorph = 0.000 eV/atom
Energy relative to the elements, uncorrected = -0.23 eV per atom


Entry 3:
First-principles (PBE) data for a geometry-optimized Hg2BiI6 structure, as listed in the Alexandria database.

Cell and atoms, written as POSCAR:
```
Hg2BiI6
1.0
7.658 -6.785 0.000
7.658 6.785 0.000
-0.786 0.000 7.980
Hg Bi I
4 2 12
Cartesian
2.574 1.054 2.508
2.182 -1.054 6.498
12.348 1.054 1.482
11.956 -1.054 5.473
7.069 1.339 5.985
7.461 -1.339 1.995
1.294 1.290 5.086
5.124 3.348 7.047
1.686 -1.290 1.096
5.472 1.086 3.161
9.013 3.348 4.924
5.079 -1.086 7.151
9.451 1.086 0.829
5.517 -3.348 3.057
9.058 -1.086 4.819
12.844 1.290 6.884
9.406 -3.348 0.934
13.237 -1.290 2.894
```

Calculated values
Total DFT energy (no corrections) = -1.785 eV/atom
Space-group type = No. 15
Energy relative to the elements, uncorrected = -0.25 eV per atom


Entry 4:
First-principles (PBE) data for a geometry-optimized HgBi3I structure, as listed in the Alexandria database.

Cell and atoms, written as POSCAR:
```
HgBi3I
1.0
5.797 0.000 0.000
0.000 5.797 0.000
0.000 0.000 5.797
Hg Bi I
1 3 1
Cartesian
0.000 0.000 0.000
0.000 0.000 2.898
0.000 2.898 0.000
2.898 0.000 0.000
2.898 2.898 2.898
```

Calculated values
Total DFT energy (no corrections) = -2.099 eV/atom
Space-group type = No. 221
ΔE to the lowest computed polymorph = 0.000 eV/atom
Energy relative to the elements, uncorrected = 0.60 eV per atom